No. 1
A plane-wave DFT calculation with PBE was carried out for a relaxed PmPrErSc crystal.

Computed properties:
Calculated formation energy (eV/atom): 0.097
SG: Cm, No. 8
Crystal system: monoclinic
Energy above the most stable polymorph in this dataset (meV per atom): 3

Unit cell a=3.812 b=5.701 c=6.743 alpha=115.01 beta=73.52 gamma=90.00
Sites, in units of the cell vectors:
Pr 0.653 0.411 0.823
Sc 0.917 0.646 0.291
Pm 0.425 0.136 0.271
Er 0.192 0.872 0.744



No. 2
A plane-wave DFT calculation with PBE was carried out for a relaxed La3Y8Tm2 crystal.

Computed properties:
Calculated formation energy (eV/atom): 0.250
SG: Cmmm, No. 65
Crystal system: orthorhombic
Energy above the most stable polymorph in this dataset (meV per atom): 4

Unit cell a=5.705 b=7.797 c=10.785 alpha=111.20 beta=90.01 gamma=90.00
Sites, in units of the cell vectors:
Y 0.000 0.324 0.648
Y 0.000 0.137 0.273
Y 0.500 0.598 0.780
Y 0.500 0.182 0.780
Y 0.500 0.818 0.220
Y 0.500 0.402 0.220
Y 0.000 0.676 0.352
Y 0.000 0.863 0.727
La 0.000 0.700 0.000
La 0.000 0.300 0.000
La 0.500 0.000 0.000
Tm 0.500 0.760 0.519
Tm 0.500 0.240 0.481



No. 3
A plane-wave DFT calculation with PBE was carried out for a relaxed CsTlOsO6 crystal.

Computed properties:
SG: C2, No. 5
Crystal system: monoclinic
Raw formation energy (kJ/mol of formula units): -846

Unit cell a=5.932 b=5.932 c=6.346 alpha=91.25 beta=88.75 gamma=57.31
Sites, in units of the cell vectors:
Os 0.346 0.346 0.500
Tl 0.680 0.680 0.500
O 0.520 0.092 0.291
O 0.622 0.311 0.641
O 0.092 0.520 0.709
O 0.021 0.387 0.341
O 0.311 0.622 0.359
O 0.387 0.021 0.659
Cs 0.021 0.021 0.000



No. 4
A plane-wave DFT calculation with PBE was carried out for a relaxed Hf5Si2Bi2 crystal.

Computed properties:
SG: Cmce, No. 64
Crystal system: orthorhombic
Raw formation energy (kJ/mol of formula units): -435

Unit cell a=7.226 b=7.182 c=8.191 alpha=90.00 beta=63.83 gamma=90.00
Sites, in units of the cell vectors:
Hf 0.218 0.171 0.232
Hf 0.282 0.671 0.768
Hf 0.000 0.000 0.000
Hf 0.950 0.329 0.768
Hf 0.718 0.329 0.232
Hf 0.782 0.829 0.768
Hf 0.500 0.500 0.000
Hf 0.450 0.171 0.768
Hf 0.050 0.671 0.232
Hf 0.550 0.829 0.232
Bi 0.212 0.000 0.576
Bi 0.788 0.000 0.424
Bi 0.712 0.500 0.576
Bi 0.288 0.500 0.424
Si 0.125 0.376 0.000
Si 0.875 0.624 0.000
Si 0.625 0.124 0.000
Si 0.375 0.876 0.000



No. 5
A plane-wave DFT calculation with PBE was carried out for a relaxed Sr3Pb5Se12 crystal.

Computed properties:
SG: Ia-3d, No. 230
Crystal system: cubic
Raw formation energy (kJ/mol of formula units): -1359

Unit cell a=15.058 b=15.058 c=15.058 alpha=109.47 beta=109.47 gamma=109.47
Sites, in units of the cell vectors:
Se 0.281 0.413 0.824
Se 0.456 0.676 0.088
Se 0.587 0.719 0.676
Se 0.781 0.324 0.913
Se 0.044 0.632 0.719
Se 0.544 0.324 0.912
Se 0.219 0.676 0.087
Se 0.412 0.044 0.324
Se 0.368 0.412 0.087
Se 0.719 0.587 0.176
Se 0.824 0.912 0.044
Se 0.544 0.219 0.132
Se 0.368 0.956 0.781
Se 0.044 0.412 0.824
Se 0.088 0.913 0.132
Se 0.281 0.868 0.956
Se 0.412 0.368 0.587
Se 0.087 0.912 0.368
Se 0.913 0.824 0.781
Se 0.676 0.219 0.587
Se 0.676 0.456 0.588
Se 0.413 0.281 0.324
Se 0.219 0.544 0.632
Se 0.324 0.781 0.413
Se 0.588 0.632 0.413
Se 0.824 0.913 0.281
Se 0.913 0.088 0.632
Se 0.324 0.544 0.412
Se 0.912 0.824 0.544
Se 0.781 0.456 0.368
Se 0.587 0.868 0.412
Se 0.132 0.719 0.544
Se 0.719 0.132 0.044
Se 0.868 0.281 0.456
Se 0.956 0.588 0.176
Se 0.088 0.176 0.456
Se 0.912 0.087 0.868
Se 0.413 0.132 0.588
Se 0.176 0.088 0.956
Se 0.956 0.368 0.281
Se 0.087 0.176 0.219
Se 0.632 0.044 0.219
Se 0.588 0.956 0.676
Se 0.456 0.781 0.868
Se 0.632 0.588 0.913
Se 0.868 0.587 0.912
Se 0.176 0.087 0.719
Se 0.132 0.413 0.088
Pb 0.000 0.500 0.000
Pb 0.375 0.250 0.125
Pb 0.625 0.750 0.875
Pb 0.500 0.500 0.000
Pb 0.875 0.250 0.625
Pb 0.000 0.000 0.500
Pb 0.000 0.000 0.000
Pb 0.875 0.625 0.750
Pb 0.625 0.875 0.250
Pb 0.250 0.875 0.125
Pb 0.125 0.750 0.375
Pb 0.375 0.125 0.750
Pb 0.500 0.500 0.500
Pb 0.125 0.375 0.250
Pb 0.000 0.500 0.500
Pb 0.250 0.375 0.625
Pb 0.750 0.125 0.875
Pb 0.500 0.000 0.500
Pb 0.750 0.625 0.375
Pb 0.500 0.000 0.000
Sr 0.875 0.750 0.125
Sr 0.750 0.875 0.625
Sr 0.375 0.750 0.625
Sr 0.750 0.375 0.125
Sr 0.875 0.125 0.250
Sr 0.625 0.375 0.750
Sr 0.250 0.125 0.375
Sr 0.250 0.625 0.875
Sr 0.625 0.250 0.375
Sr 0.125 0.875 0.750
Sr 0.375 0.625 0.250
Sr 0.125 0.250 0.875



No. 6
A plane-wave DFT calculation with PBE was carried out for a relaxed PrZr3 crystal.

Computed properties:
Calculated formation energy (eV/atom): 0.184
SG: I4/mmm, No. 139
Crystal system: tetragonal
Energy above the most stable polymorph in this dataset (meV per atom): 34

Unit cell a=4.673 b=4.673 c=5.721 alpha=114.10 beta=114.10 gamma=90.00
Sites, in units of the cell vectors:
Zr 0.500 0.500 0.000
Zr 0.250 0.750 0.500
Zr 0.750 0.250 0.500
Pr 0.000 0.000 0.000



Copy entry 4 word for word.
A plane-wave DFT calculation with PBE was carried out for a relaxed Hf5Si2Bi2 crystal.

Computed properties:
SG: Cmce, No. 64
Crystal system: orthorhombic
Raw formation energy (kJ/mol of formula units): -435

Unit cell a=7.226 b=7.182 c=8.191 alpha=90.00 beta=63.83 gamma=90.00
Sites, in units of the cell vectors:
Hf 0.218 0.171 0.232
Hf 0.282 0.671 0.768
Hf 0.000 0.000 0.000
Hf 0.950 0.329 0.768
Hf 0.718 0.329 0.232
Hf 0.782 0.829 0.768
Hf 0.500 0.500 0.000
Hf 0.450 0.171 0.768
Hf 0.050 0.671 0.232
Hf 0.550 0.829 0.232
Bi 0.212 0.000 0.576
Bi 0.788 0.000 0.424
Bi 0.712 0.500 0.576
Bi 0.288 0.500 0.424
Si 0.125 0.376 0.000
Si 0.875 0.624 0.000
Si 0.625 0.124 0.000
Si 0.375 0.876 0.000



Question: Number 6 is which compound?
Answer: PrZr3